Record 1
The following is a DFT calculation (GGA-PBE) of a relaxed structure of Sc2In.

Cell: 14.4650 14.4650 14.4650 Å, 167.42 167.42 17.83°
Each line ends with the local moment (μB).
Fractional coordinates of all 6 atoms:
Sc 0.5762 0.5762 0.0000  0.36
Sc 0.1738 0.6738 0.5000  0.36
Sc 0.4238 0.4238 0.0000  0.36
Sc 0.3262 0.8262 0.5000  0.36
In 0.7500 0.2500 0.5000  0.00
In 0.0000 0.0000 0.0000  0.00

* DFT total energy: -5.2709 eV/atom
* calculated formation energy: -0.137 eV/atom
* crystal system: tetragonal
* calculated density: 4.735 g cm⁻³

***

Record 2
The following is a DFT calculation (GGA-PBE) of a relaxed structure of ScCoSi2Tc.

Cell: 4.0047 4.0047 5.5325 Å, 111.22 111.22 90.00°
Fractional coordinates of all 5 atoms:
Si 0.6254 0.6254 0.2507
Si 0.3746 0.3746 0.7493
Co 0.2500 0.7500 0.5000
Sc 0.0000 0.0000 0.0000
Tc 0.7500 0.2500 0.5000

* DFT total energy: -7.5599 eV/atom
* energy relative to the elements, uncorrected: -630 meV per atom
* crystal system: tetragonal
* calculated density: 5.622 g cm⁻³

***

Record 3
The following is a DFT calculation (GGA-PBE) of a relaxed structure of AcInRh2.

Cell: 3.4784 3.4784 6.9789 Å, 90.00 90.00 90.00°
Fractional coordinates of all 4 atoms:
Rh 0.0000 0.0000 0.2088
Rh 0.0000 0.0000 0.7912
In 0.5000 0.5000 0.0000
Ac 0.5000 0.5000 0.5000

* DFT total energy: -5.7739 eV/atom
* calculated formation energy: -0.386 eV/atom
* crystal system: tetragonal
* calculated density: 10.769 g cm⁻³

***

Record 4
The following is a DFT calculation (GGA-PBE) of a relaxed structure of NaCd2Ga6.

Cell: 3.0105 9.3384 8.0716 Å, 125.34 95.23 90.00°
Fractional coordinates of all 9 atoms:
Ga 0.6773 0.0276 0.3721
Ga 0.5000 0.2900 0.0000
Ga 0.5000 0.7100 0.0000
Ga 0.3227 0.6555 0.6279
Ga 0.3227 0.9724 0.6279
Ga 0.6773 0.3445 0.3721
Cd 0.0028 0.6298 0.2595
Cd 0.9971 0.3702 0.7405
Na 0.0000 0.0000 0.0000

* DFT total energy: -2.3691 eV/atom
* calculated formation energy: -0.001 eV/atom
* crystal system: monoclinic
* calculated density: 6.014 g cm⁻³

***

- Which of these has the highest DFT total energy?
  NaCd2Ga6